Record 1
# PBE-GGA Ac2UCrN6, relaxed
data_Ac2UCrN6
_chemical_formula_sum 'Ac2 U1 Cr1 N6'
_symmetry_space_group_name_H-M 'P 1'
_symmetry_Int_Tables_number 1
_cell_length_a 4.1152
_cell_length_b 4.1152
_cell_length_c 8.3021
_cell_angle_alpha 90.00
_cell_angle_beta 90.00
_cell_angle_gamma 90.00
loop_
_symmetry_equiv_pos_as_xyz
'x,y,z'
loop_
_atom_site_label
_atom_site_fract_x
_atom_site_fract_y
_atom_site_fract_z
Ac1 0.0000 0.0000 0.2193
Ac2 0.0000 0.0000 0.7807
U1 0.5000 0.5000 0.5000
Cr1 0.5000 0.5000 0.0000
N1 0.0000 0.5000 0.0000
N2 0.0000 0.5000 0.5000
N3 0.5000 0.0000 0.0000
N4 0.5000 0.0000 0.5000
N5 0.5000 0.5000 0.2320
N6 0.5000 0.5000 0.7680
# total magnetic moment: 0.02 μB/atom
# DOS(E_F): 4.5 states/eV per cell
# formation energy (no corrections): -0.898 eV per atom

Record 2
# PBE-GGA La4PdBr2N, relaxed
data_La4PdBr2N
_chemical_formula_sum 'La4 Pd1 Br2 N1'
_symmetry_space_group_name_H-M 'P 1'
_symmetry_Int_Tables_number 1
_cell_length_a 7.2372
_cell_length_b 3.9265
_cell_length_c 8.0079
_cell_angle_alpha 90.00
_cell_angle_beta 107.45
_cell_angle_gamma 90.00
loop_
_symmetry_equiv_pos_as_xyz
'x,y,z'
loop_
_atom_site_label
_atom_site_fract_x
_atom_site_fract_y
_atom_site_fract_z
La1 0.1964 0.0000 0.1904
La2 0.2330 0.5000 0.8029
La3 0.7670 0.5000 0.1971
La4 0.8036 0.0000 0.8096
Pd1 0.5000 0.0000 0.0000
Br1 0.0000 0.0000 0.5000
Br2 0.5000 0.5000 0.5000
N1 0.0000 0.5000 0.0000
# total magnetic moment: 0.00 μB/atom
# DOS(E_F): 7.5 states/eV per cell
# formation energy (no corrections): -1.194 eV per atom

Record 3
# PBE-GGA Ac3GaPd8, relaxed
data_Ac3GaPd8
_chemical_formula_sum 'Ac3 Ga1 Pd8'
_symmetry_space_group_name_H-M 'P 1'
_symmetry_Int_Tables_number 1
_cell_length_a 9.7183
_cell_length_b 9.7183
_cell_length_c 9.7183
_cell_angle_alpha 33.77
_cell_angle_beta 33.77
_cell_angle_gamma 33.77
loop_
_symmetry_equiv_pos_as_xyz
'x,y,z'
loop_
_atom_site_label
_atom_site_fract_x
_atom_site_fract_y
_atom_site_fract_z
Ac1 0.0000 0.0000 0.0000
Ac2 0.1335 0.1335 0.1335
Ac3 0.6017 0.6017 0.6017
Ga1 0.4664 0.4664 0.4664
Pd1 0.0545 0.5623 0.5623
Pd2 0.0591 0.0591 0.5663
Pd3 0.0591 0.5663 0.0591
Pd4 0.3104 0.3104 0.3104
Pd5 0.5623 0.0545 0.5623
Pd6 0.5623 0.5623 0.0545
Pd7 0.5663 0.0591 0.0591
Pd8 0.8112 0.8112 0.8112
# total magnetic moment: 0.00 μB/atom
# ΔE_f: -0.7220 eV per atom
# DOS(E_F): 5.6 states/eV per cell

Record 4
# PBE-GGA LaTeMo2, relaxed
data_LaTeMo2
_chemical_formula_sum 'La1 Te1 Mo2'
_symmetry_space_group_name_H-M 'P 1'
_symmetry_Int_Tables_number 1
_cell_length_a 3.7714
_cell_length_b 3.7714
_cell_length_c 6.4681
_cell_angle_alpha 90.00
_cell_angle_beta 90.00
_cell_angle_gamma 90.00
loop_
_symmetry_equiv_pos_as_xyz
'x,y,z'
loop_
_atom_site_label
_atom_site_fract_x
_atom_site_fract_y
_atom_site_fract_z
La1 0.0000 0.0000 0.0000
Te1 0.0000 0.0000 0.5000
Mo1 0.5000 0.5000 0.3170
Mo2 0.5000 0.5000 0.6830
# total magnetic moment: 0.00 μB/atom
# DOS(E_F): 3.0 states/eV per cell
# formation energy (no corrections): 0.443 eV per atom